An optimized crystal structure of La7Nd6Dy16. Source: Alexandria via LeMat-Bulk, functional PBE-GGA.

a = 11.396 Å, b = 11.396 Å, c = 11.396 Å
α = 60.00°, β = 60.00°, γ = 60.00°
Atoms (fractional coordinates):
La 0.000 0.000 0.000
Dy 0.607 0.131 0.131
Dy 0.393 0.869 0.869
Dy 0.043 0.652 0.652
Dy 0.131 0.131 0.607
Dy 0.869 0.869 0.869
Nd 0.252 0.252 0.748
Nd 0.748 0.252 0.748
La 0.500 0.500 0.000
La 0.500 0.000 0.000
Dy 0.348 0.957 0.348
La 0.000 0.500 0.000
Dy 0.957 0.348 0.348
Dy 0.869 0.393 0.869
Dy 0.348 0.348 0.957
Dy 0.869 0.869 0.393
La 0.500 0.000 0.500
Dy 0.652 0.652 0.043
Nd 0.748 0.748 0.252
La 0.000 0.000 0.500
Nd 0.748 0.252 0.252
La 0.000 0.500 0.500
Dy 0.131 0.607 0.131
Nd 0.252 0.748 0.748
Dy 0.348 0.348 0.348
Nd 0.252 0.748 0.252
Dy 0.131 0.131 0.131
Dy 0.652 0.652 0.652
Dy 0.652 0.043 0.652

Its volume is 36.09 Å³ per atom. Its formation enthalpy at 0 K is 242 meV/atom. As for the total energy: -4.47 eV/atom.